Entry 1:
29
Lattice="-5.2741 3.9406 4.8385 -0.6998 -2.1176 7.8602 2.7652 5.0006 5.8399" Properties=species:S:1:pos:R:3 comment="Zr6Al7Ni16 | Alexandria | SCAN | PBEsol geometry" spacegroup="Fm-3m, No. 225" density_g_cm3=7.21 e_form_ev_per_atom=-0.687 dos_ef_per_ev_cell=21.61 pbc="T T T"
Ni -0.8352 2.9382 3.5951
Ni -4.2504 3.4150 13.2810
Zr -1.2288 1.1162 8.6843
Ni -0.3876 0.8242 2.2393
Ni 0.6391 0.9857 4.5689
Zr -3.1279 3.6314 7.4298
Al -2.6371 1.9703 2.4193
Al 0.0000 0.0000 0.0000
Ni -2.8212 5.9995 16.2993
Ni -2.3736 3.8855 14.9435
Ni -2.1481 4.5680 12.4102
Zr -3.4185 2.7523 10.6931
Al -1.2545 4.4706 5.3392
Ni 1.0416 3.4088 5.2576
Ni -3.1135 2.8609 4.7400
Al 1.0327 1.4415 6.8500
Zr 0.2097 4.0715 7.8455
Ni -1.0607 2.2558 6.1284
Ni -3.8479 5.8380 13.9697
Ni -0.0953 3.9628 13.7986
Zr -0.0808 3.1923 11.1088
Ni -1.2568 6.1797 14.2924
Ni -1.9519 0.6441 4.2462
Ni -2.4595 7.0940 12.2368
Al -0.3499 -1.0588 3.9301
Ni -0.7493 -0.2702 6.3018
Al 1.3826 2.5003 2.9199
Zr -1.9799 5.7075 9.8543
Al -2.9870 0.9115 6.3494

***

Entry 2:
4
Lattice="2.9704 0.0000 -0.0114 0.0000 4.0607 0.0000 -1.4636 0.0000 5.2523" Properties=species:S:1:pos:R:3 comment="ZrAl2Ni | Alexandria | SCAN | PBEsol geometry" spacegroup="Amm2, No. 38" density_g_cm3=5.35 e_form_ev_per_atom=-0.367 dos_ef_per_ev_cell=3.10 pbc="T T T"
Al 1.6757 2.0304 1.3007
Al 0.1856 0.0000 0.2120
Ni 1.6828 0.0000 2.5781
Zr 0.2013 2.0304 3.7648